Crystalline La4Y5Tm2 at its relaxed geometry. Source: Alexandria via LeMat-Bulk, functional PBE-GGA.

Cell and atoms, written as POSCAR:
```
La4Y5Tm2
1.0
9.3487 -6.2714 4.9043
10.9252 -3.1298 4.6504
-1.9841 1.6847 8.5261
La Y Tm
4 5 2
direct
0.0982 0.0982 0.7860
0.9727 0.9727 0.6712
0.9018 0.9018 0.2140
0.0273 0.0273 0.3288
0.8264 0.8264 0.8958
0.1736 0.1736 0.1042
0.7696 0.7696 0.3239
0.5000 0.5000 0.0000
0.2304 0.2304 0.6761
0.6389 0.6389 0.4521
0.3611 0.3611 0.5479
```

## Properties
- Energy of formation from the pure elements: 0.219 eV/atom
- Total magnetic moment: 0.00 μB per formula unit
- DFT total energy: -5.3242 eV/atom

***

Crystalline La6YTm at its relaxed geometry. Source: Alexandria via LeMat-Bulk, functional PBE-GGA.

Cell and atoms, written as POSCAR:
```
La6YTm
1.0
-0.6866 -5.0151 -1.1857
3.0532 -1.3595 3.9823
-8.3069 -0.3409 6.2525
La Y Tm
6 1 1
direct
0.5000 0.5000 0.0000
0.5000 0.5000 0.5000
0.5000 0.0000 0.2514
0.5000 0.0000 0.7486
0.0000 0.5000 0.2514
0.0000 0.5000 0.7486
0.0000 0.0000 0.0000
0.0000 0.0000 0.5000
```

## Properties
- Energy of formation from the pure elements: 0.006 eV/atom
- Total magnetic moment: 0.00 μB per formula unit
- DFT total energy: -5.0561 eV/atom

***

Crystalline La5Y4Tm2 at its relaxed geometry. Source: Alexandria via LeMat-Bulk, functional PBE-GGA.

Cell and atoms, written as POSCAR:
```
La5Y4Tm2
1.0
-3.2378 -0.6704 1.3355
4.9172 -3.8027 10.0127
1.0190 8.7961 2.1252
La Y Tm
5 4 2
direct
0.9014 0.4640 0.8029
0.0986 0.5360 0.1971
0.8229 0.9262 0.6458
0.5000 0.0000 0.0000
0.1771 0.0738 0.3542
0.3588 0.2027 0.7177
0.9623 0.7362 0.9245
0.6412 0.7973 0.2823
0.0377 0.2638 0.0755
0.7157 0.3516 0.4314
0.2843 0.6484 0.5686
```

## Properties
- Energy of formation from the pure elements: 0.080 eV/atom
- Total magnetic moment: 0.00 μB per formula unit
- DFT total energy: -5.3233 eV/atom